This record from Alexandria via LeMat-Bulk describes Tc2RhPb after structural relaxation. The functional is PBE.

Calculated values
As for the energy of formation from the pure elements: 59 kJ per mole of atoms. As for the symmetry: R-3m. The value obtained for the volume is 16.9 Å³/atom.

Cell and atoms, written as POSCAR:
```
Tc2RhPb
1.0
1.469 0.848 9.055
-1.469 0.848 9.055
0.000 -1.696 9.055
Tc Rh Pb
2 1 1
Cartesian
0.000 0.000 6.615
0.000 0.000 20.549
0.000 0.000 13.582
0.000 0.000 0.000
```

---

This record from Alexandria via LeMat-Bulk describes Tc2RhPb after structural relaxation. The functional is PBE.

Calculated values
As for the energy of formation from the pure elements: 28 kJ per mole of atoms. As for the symmetry: P4mm. The value obtained for the volume is 16.9 Å³/atom.

Cell and atoms, written as POSCAR:
```
Tc2RhPb
1.0
2.967 0.000 0.000
0.000 2.967 0.000
0.000 0.000 7.673
Tc Rh Pb
2 1 1
Cartesian
0.000 0.000 0.000
1.484 1.484 1.561
1.484 1.484 5.847
0.000 0.000 3.783
```

---

This record from Alexandria via LeMat-Bulk describes TcRh3Pb after structural relaxation. The functional is PBE.

Calculated values
As for the energy of formation from the pure elements: 88 kJ per mole of atoms. As for the symmetry: Pm-3m. The calculation puts the offset from the most stable computed form at 0 meV per atom. The value obtained for the volume is 21.1 Å³/atom.

Cell and atoms, written as POSCAR:
```
TcRh3Pb
1.0
4.726 0.000 0.000
0.000 4.726 0.000
0.000 0.000 4.726
Tc Rh Pb
1 3 1
Cartesian
0.000 0.000 0.000
0.000 0.000 2.363
0.000 2.363 0.000
2.363 0.000 0.000
2.363 2.363 2.363
```

---

This record from Alexandria via LeMat-Bulk describes Tc2RhPb after structural relaxation. The functional is PBE.

Calculated values
As for the energy of formation from the pure elements: 135 kJ per mole of atoms. As for the symmetry: I-42d. The value obtained for the volume is 24.2 Å³/atom.

Cell and atoms, written as POSCAR:
```
Tc2RhPb
1.0
-3.101 3.101 5.044
3.101 -3.101 5.044
3.101 3.101 -5.044
Tc Rh Pb
4 2 2
Cartesian
4.651 1.270 -1.261
1.270 1.550 1.261
-1.550 1.831 3.783
1.831 1.550 6.305
0.000 0.000 0.000
0.000 3.101 2.522
3.101 0.000 2.522
0.000 0.000 5.044
```

---

Question: Among the records above, which one has the highest energy of formation from the pure elements?
Answer: number 4

---

Question: The lowest energy of formation from the pure elements belongs to which entry?
Answer: number 2

---

Question: The lowest energy of formation from the pure elements belongs to which entry?
Answer: number 2